1.
Compound: BiTeS3
Source: Alexandria via LeMat-Bulk
Functional: meta-GGA SCAN
Structure: single point on PBEsol structure

The value obtained for the formation energy without anion corrections is 0.426 eV per atom. Its symmetry is No. 221. The density of states at the Fermi level comes out at 2.8 states/eV/cell. For the volume, the calculation gives 123.0 Å³ per cell. For the total energy, the calculation gives -142.59 eV/cell.

Structure (CIF):
```
data_BiTeS3
_symmetry_space_group_name_H-M 'P 1'
_symmetry_Int_Tables_number 1
_cell_length_a 4.973
_cell_length_b 4.973
_cell_length_c 4.973
_cell_angle_alpha 90.00
_cell_angle_beta 90.00
_cell_angle_gamma 90.00
loop_
_symmetry_equiv_pos_as_xyz
'x,y,z'
loop_
_atom_site_label
_atom_site_type_symbol
_atom_site_fract_x
_atom_site_fract_y
_atom_site_fract_z
S1 S 0.000 0.500 0.000
S2 S 0.000 0.000 0.500
S3 S 0.500 0.000 0.000
Te1 Te 0.000 0.000 0.000
Bi1 Bi 0.500 0.500 0.500
```

=====

2.
Compound: Zn2InIr
Source: Alexandria via LeMat-Bulk
Functional: meta-GGA SCAN
Structure: single point on PBEsol structure

Its symmetry is No. 65. The density of states at the Fermi level comes out at 1.5 states/eV/cell. For the volume, the calculation gives 61.5 Å³ per cell. The energy of formation comes out at 0.145 eV per formula unit. For the total energy, the calculation gives -131.37 eV/cell.

Structure (CIF):
```
data_Zn2InIr
_symmetry_space_group_name_H-M 'P 1'
_symmetry_Int_Tables_number 1
_cell_length_a 3.037
_cell_length_b 4.589
_cell_length_c 4.589
_cell_angle_alpha 105.90
_cell_angle_beta 90.00
_cell_angle_gamma 90.00
loop_
_symmetry_equiv_pos_as_xyz
'x,y,z'
loop_
_atom_site_label
_atom_site_type_symbol
_atom_site_fract_x
_atom_site_fract_y
_atom_site_fract_z
In1 In 0.500 0.000 0.000
Ir1 Ir 0.500 0.500 0.500
Zn1 Zn 0.000 0.500 0.000
Zn2 Zn 0.000 0.000 0.500
```

=====

3.
Compound: Ta5Pb
Source: Alexandria via LeMat-Bulk
Functional: meta-GGA SCAN
Structure: single point on PBEsol structure

Its symmetry is No. 189. The density of states at the Fermi level comes out at 5.3 states/eV/cell. For the volume, the calculation gives 111.7 Å³ per cell. The energy of formation comes out at 2.105 eV per formula unit. For the total energy, the calculation gives -406.59 eV/cell.

Structure (CIF):
```
data_Ta5Pb
_symmetry_space_group_name_H-M 'P 1'
_symmetry_Int_Tables_number 1
_cell_length_a 4.965
_cell_length_b 5.097
_cell_length_c 5.097
_cell_angle_alpha 120.00
_cell_angle_beta 90.00
_cell_angle_gamma 90.00
loop_
_symmetry_equiv_pos_as_xyz
'x,y,z'
loop_
_atom_site_label
_atom_site_type_symbol
_atom_site_fract_x
_atom_site_fract_y
_atom_site_fract_z
Pb1 Pb 0.500 0.000 0.000
Ta1 Ta 0.000 0.341 0.341
Ta2 Ta 0.000 0.659 0.000
Ta3 Ta 0.000 0.000 0.659
Ta4 Ta 0.500 0.333 0.667
Ta5 Ta 0.500 0.667 0.333
```

=====

4.
Compound: LiVP3O9
Source: Alexandria via LeMat-Bulk
Functional: meta-GGA SCAN
Structure: single point on PBEsol structure

The value obtained for the formation energy without anion corrections is -2.417 eV per atom. Its symmetry is No. 188. The excess energy over the best structure of this formula in the dataset is 0.051 eV per atom. The density of states at the Fermi level comes out at 0.0 states/eV/cell. For the volume, the calculation gives 336.7 Å³ per cell. For the total energy, the calculation gives -282.00 eV/cell.

Structure (CIF):
```
data_LiVP3O9
_symmetry_space_group_name_H-M 'P 1'
_symmetry_Int_Tables_number 1
_cell_length_a 6.388
_cell_length_b 6.388
_cell_length_c 9.527
_cell_angle_alpha 90.00
_cell_angle_beta 90.00
_cell_angle_gamma 120.00
loop_
_symmetry_equiv_pos_as_xyz
'x,y,z'
loop_
_atom_site_label
_atom_site_type_symbol
_atom_site_fract_x
_atom_site_fract_y
_atom_site_fract_z
Li1 Li 0.000 0.000 0.500
Li2 Li 0.000 0.000 0.000
V1 V 0.667 0.333 0.500
V2 V 0.667 0.333 0.000
P1 P 0.587 0.642 0.250
P2 P 0.358 0.413 0.750
P3 P 0.055 0.642 0.750
P4 P 0.055 0.413 0.250
P5 P 0.358 0.945 0.250
P6 P 0.587 0.945 0.750
O1 O 0.118 0.430 0.750
O2 O 0.312 0.430 0.250
O3 O 0.570 0.882 0.250
O4 O 0.570 0.688 0.750
O5 O 0.312 0.882 0.750
O6 O 0.118 0.688 0.250
O7 O 0.701 0.636 0.114
O8 O 0.701 0.636 0.386
O9 O 0.364 0.299 0.614
O10 O 0.364 0.299 0.886
O11 O 0.935 0.636 0.886
O12 O 0.935 0.636 0.614
O13 O 0.935 0.299 0.114
O14 O 0.935 0.299 0.386
O15 O 0.364 0.065 0.386
O16 O 0.364 0.065 0.114
O17 O 0.701 0.065 0.614
O18 O 0.701 0.065 0.886
```

=====

5.
Compound: RbZnAu2
Source: Alexandria via LeMat-Bulk
Functional: meta-GGA SCAN
Structure: single point on PBEsol structure

Its symmetry is No. 141. The density of states at the Fermi level comes out at 2.9 states/eV/cell. For the volume, the calculation gives 240.9 Å³ per cell. The energy of formation comes out at -1.152 eV per formula unit. For the total energy, the calculation gives -347.44 eV/cell.

Structure (CIF):
```
data_RbZnAu2
_symmetry_space_group_name_H-M 'P 1'
_symmetry_Int_Tables_number 1
_cell_length_a 5.290
_cell_length_b 5.290
_cell_length_c 9.387
_cell_angle_alpha 106.37
_cell_angle_beta 106.37
_cell_angle_gamma 90.00
loop_
_symmetry_equiv_pos_as_xyz
'x,y,z'
loop_
_atom_site_label
_atom_site_type_symbol
_atom_site_fract_x
_atom_site_fract_y
_atom_site_fract_z
Zn1 Zn 0.500 0.500 0.000
Zn2 Zn 0.750 0.250 0.500
Au1 Au 0.625 0.375 0.750
Au2 Au 0.125 0.375 0.750
Au3 Au 0.625 0.875 0.250
Au4 Au 0.625 0.375 0.250
Rb1 Rb 0.000 0.000 0.000
Rb2 Rb 0.250 0.750 0.500
```

=====

6.
Compound: Fe2NiIr
Source: Alexandria via LeMat-Bulk
Functional: meta-GGA SCAN
Structure: single point on PBEsol structure

Its symmetry is No. 119. The density of states at the Fermi level comes out at 3.5 states/eV/cell. For the volume, the calculation gives 45.7 Å³ per cell. The energy of formation comes out at -0.365 eV per formula unit. For the total energy, the calculation gives -123.90 eV/cell.

Structure (CIF):
```
data_Fe2NiIr
_symmetry_space_group_name_H-M 'P 1'
_symmetry_Int_Tables_number 1
_cell_length_a 3.604
_cell_length_b 3.604
_cell_length_c 4.343
_cell_angle_alpha 114.51
_cell_angle_beta 114.51
_cell_angle_gamma 90.00
loop_
_symmetry_equiv_pos_as_xyz
'x,y,z'
loop_
_atom_site_label
_atom_site_type_symbol
_atom_site_fract_x
_atom_site_fract_y
_atom_site_fract_z
Ni1 Ni 0.250 0.750 0.500
Ir1 Ir 0.500 0.500 0.000
Fe1 Fe 0.000 0.000 0.000
Fe2 Fe 0.750 0.250 0.500
```